The following is a DFT calculation (PBE) of an optimized crystal structure of Pm2Y8Ho3.

The structure in CIF format:
```
data_Pm2Y8Ho3
_chemical_formula_sum 'Pm4 Y16 Ho6'
_cell_length_a 20.613
_cell_length_b 7.616
_cell_length_c 5.611
_cell_angle_alpha 90.00
_cell_angle_beta 90.01
_cell_angle_gamma 90.00
_space_group_name_H-M_alt 'C 1 2/m 1'
_space_group_IT_number 12
loop_
_space_group_symop_operation_xyz
'x,y,z'
'-x,-y,-z'
'-x,y,-z'
'x,-y,z'
'x+1/2,y+1/2,z'
'-x+1/2,-y+1/2,-z'
'-x+1/2,y+1/2,-z'
'x+1/2,-y+1/2,z'
loop_
_atom_site_label
_atom_site_fract_x
_atom_site_fract_y
_atom_site_fract_z
Pm1 0.241 0.000 0.000
Y1 0.106 0.287 0.000
Y2 0.131 0.000 0.500
Y3 0.165 0.500 0.500
Ho1 0.000 0.000 0.000
Ho2 0.000 0.284 0.500
```

Calculated values
The value obtained for the calculated density is 5.641 g/cm3. The offset from the most stable computed form comes out at 2.25 kcal/mol of atoms.